This record from Alexandria via LeMat-Bulk describes a relaxed structure of LaGa4Ni2Ru. The functional is PBE.

Unit cell a=9.4677 b=9.4677 c=9.4677 alpha=25.26 beta=25.26 gamma=25.26
Positions (direct):
La 0.0000 0.0000 0.0000
Ga 0.1316 0.1316 0.1316
Ga 0.4062 0.4062 0.4062
Ga 0.5938 0.5938 0.5938
Ga 0.8684 0.8684 0.8684
Ni 0.2288 0.2288 0.2288
Ni 0.7712 0.7712 0.7712
Ru 0.5000 0.5000 0.5000

Computed properties:
Formation energy in eV/atom: -0.460
Space-group type: No. 166
M_tot in μB per formula unit: 0.0
Crystal system: trigonal

This record from Alexandria via LeMat-Bulk describes a relaxed structure of CrSi2Pt2. The functional is PBE.

Unit cell a=6.8868 b=6.8868 c=2.9773 alpha=90.00 beta=90.00 gamma=90.00
Positions (direct):
Cr 0.0000 0.0000 0.0000
Cr 0.5000 0.5000 0.0000
Si 0.1524 0.3476 0.0000
Si 0.3476 0.8476 0.0000
Si 0.6524 0.1524 0.0000
Si 0.8476 0.6524 0.0000
Pt 0.1481 0.6481 0.5000
Pt 0.3519 0.1481 0.5000
Pt 0.6481 0.8519 0.5000
Pt 0.8519 0.3519 0.5000

Computed properties:
Space-group type: No. 127
Uncorrected formation energy in eV/atom: -0.2029
M_tot in μB per formula unit: 0.0
Crystal system: tetragonal

This record from Alexandria via LeMat-Bulk describes a relaxed structure of DyMg5Cu2. The functional is PBE.

Unit cell a=6.9183 b=6.9183 c=6.9183 alpha=147.89 beta=104.91 gamma=84.01
Positions (direct):
Dy 0.0000 0.0000 0.0000
Mg 0.1522 0.3466 0.8056
Mg 0.4590 0.6534 0.8056
Mg 0.5000 0.0000 0.5000
Mg 0.5410 0.3466 0.1944
Mg 0.8478 0.6534 0.1944
Cu 0.2273 0.7273 0.5000
Cu 0.7727 0.2727 0.5000

Computed properties:
Formation energy in eV/atom: -0.089
Space-group type: No. 71
M_tot in μB per formula unit: 0.0
Crystal system: orthorhombic

This record from Alexandria via LeMat-Bulk describes a relaxed structure of Ce2ErTh. The functional is PBE.

Unit cell a=4.8720 b=4.8720 c=4.9947 alpha=90.00 beta=90.00 gamma=90.00
Positions (direct):
Ce 0.0000 0.5000 0.0000
Ce 0.5000 0.0000 0.0000
Er 0.0000 0.0000 0.5000
Th 0.5000 0.5000 0.5000

Computed properties:
Formation energy in eV/atom: 0.081
Excess energy over the best structure of this formula in the dataset in eV per atom: 0.026
Space-group type: No. 123
M_tot in μB per formula unit: 0.7
Crystal system: tetragonal

This record from Alexandria via LeMat-Bulk describes a relaxed structure of BaCo2Sb. The functional is PBE.

Unit cell a=5.3775 b=5.3775 c=5.3775 alpha=128.30 beta=128.30 gamma=76.14
Positions (direct):
Ba 0.0000 0.0000 0.0000
Co 0.2500 0.7500 0.5000
Co 0.5000 0.5000 0.0000
Sb 0.7500 0.2500 0.5000

Computed properties:
Space-group type: No. 119
Uncorrected formation energy in eV/atom: 0.7063
M_tot in μB per formula unit: 3.5
Crystal system: tetragonal

This record from Alexandria via LeMat-Bulk describes a relaxed structure of K2Na6PdAu. The functional is PBE.

Unit cell a=8.1039 b=8.1039 c=8.1039 alpha=60.00 beta=60.00 gamma=60.00
Positions (direct):
K 0.2500 0.2500 0.2500
K 0.7500 0.7500 0.7500
Na 0.2454 0.2454 0.7546
Na 0.2454 0.7546 0.2454
Na 0.2454 0.7546 0.7546
Na 0.7546 0.2454 0.2454
Na 0.7546 0.2454 0.7546
Na 0.7546 0.7546 0.2454
Pd 0.0000 0.0000 0.0000
Au 0.5000 0.5000 0.5000

Computed properties:
Formation energy in eV/atom: -0.048
Space-group type: No. 225
M_tot in μB per formula unit: 0.0
Crystal system: cubic

This record from Alexandria via LeMat-Bulk describes a relaxed structure of In2PAu. The functional is PBE.

Unit cell a=6.8002 b=6.8002 c=7.2973 alpha=93.57 beta=93.57 gamma=36.06
Positions (direct):
In 0.0000 0.0000 0.0000
In 0.3085 0.3085 0.6617
In 0.5716 0.5716 0.4492
In 0.7247 0.7247 0.9315
P 0.5122 0.5122 0.7995
P 0.9611 0.9611 0.3394
Au 0.2053 0.2053 0.1747
Au 0.7798 0.7798 0.4052

Computed properties:
Formation energy in eV/atom: -0.070
Space-group type: No. 8
M_tot in μB per formula unit: 0.0
Crystal system: monoclinic

This record from Alexandria via LeMat-Bulk describes a relaxed structure of Be2InPb. The functional is PBE.

Unit cell a=4.2311 b=3.4148 c=5.5141 alpha=90.00 beta=107.38 gamma=90.00
Positions (direct):
Be 0.0000 0.0000 0.0000
Be 0.5000 0.5000 0.5000
In 0.0000 0.0000 0.5000
Pb 0.5000 0.5000 0.0000

Computed properties:
Formation energy in eV/atom: 0.655
Excess energy over the best structure of this formula in the dataset in eV per atom: 0.309
Space-group type: No. 10
M_tot in μB per formula unit: 0.0
Crystal system: monoclinic

This record from Alexandria via LeMat-Bulk describes a relaxed structure of Dy3Pd2Rh. The functional is PBE.

Unit cell a=4.9229 b=4.9229 c=6.0275 alpha=90.00 beta=90.00 gamma=120.00
Positions (direct):
Dy 0.0000 0.0000 0.0000
Dy 0.3333 0.6667 0.6602
Dy 0.6667 0.3333 0.3398
Pd 0.3333 0.6667 0.1629
Pd 0.6667 0.3333 0.8371
Rh 0.0000 0.0000 0.5000

Computed properties:
Formation energy in eV/atom: -0.885
Excess energy over the best structure of this formula in the dataset in eV per atom: 0.000
Space-group type: No. 164
M_tot in μB per formula unit: 0.0
Crystal system: trigonal

This record from Alexandria via LeMat-Bulk describes a relaxed structure of K2LaTe. The functional is PBE.

Unit cell a=4.8262 b=4.8507 c=6.6294 alpha=90.00 beta=90.00 gamma=90.00
Positions (direct):
K 0.0000 0.0000 0.0000
K 0.5000 0.5000 0.0000
La 0.0000 0.5000 0.5000
Te 0.5000 0.0000 0.5000

Computed properties:
Space-group type: No. 47
Uncorrected formation energy in eV/atom: -0.3781
M_tot in μB per formula unit: 0.0
Crystal system: orthorhombic

This record from Alexandria via LeMat-Bulk describes a relaxed structure of La2TmCd. The functional is PBE.

Unit cell a=3.8009 b=3.8009 c=8.9510 alpha=90.00 beta=90.00 gamma=90.00
Positions (direct):
La 0.0000 0.0000 0.2322
La 0.0000 0.0000 0.7678
Tm 0.5000 0.5000 0.5000
Cd 0.5000 0.5000 0.0000

Computed properties:
Formation energy in eV/atom: -0.126
Excess energy over the best structure of this formula in the dataset in eV per atom: 0.023
Space-group type: No. 123
M_tot in μB per formula unit: 0.0
Crystal system: tetragonal

This record from Alexandria via LeMat-Bulk describes a relaxed structure of YTc3Cl. The functional is PBE.

Unit cell a=5.2075 b=5.2075 c=5.2075 alpha=90.00 beta=90.00 gamma=90.00
Positions (direct):
Y 0.0000 0.0000 0.0000
Tc 0.0000 0.0000 0.5000
Tc 0.0000 0.5000 0.0000
Tc 0.5000 0.0000 0.0000
Cl 0.5000 0.5000 0.5000

Computed properties:
Excess energy over the best structure of this formula in the dataset in eV per atom: 1.775
Space-group type: No. 221
Uncorrected formation energy in eV/atom: 2.4002
M_tot in μB per formula unit: 9.1
Crystal system: cubic